Sm2Tl5F12: optimized geometry, PBE. Values from VASP.

Structure (Quantum ESPRESSO input):
```
&SYSTEM
  ibrav = 0, nat = 19, ntyp = 3
/
ATOMIC_SPECIES
Sm 150.36 Sm.upf
Tl 204.38 Tl.upf
F 19.00 F.upf
CELL_PARAMETERS angstrom
6.640 0.173 3.532
2.041 6.853 4.014
-0.012 0.313 8.194
ATOMIC_POSITIONS crystal
Sm 0.000 0.753 0.247
Sm 0.000 0.247 0.753
Tl 0.004 0.276 0.276
Tl 0.543 0.302 0.302
Tl 0.500 0.000 0.000
Tl 0.457 0.698 0.698
Tl 0.996 0.724 0.724
F 0.203 0.918 0.918
F 0.261 0.133 0.498
F 0.261 0.498 0.133
F 0.845 0.097 0.702
F 0.845 0.702 0.097
F 0.834 0.494 0.494
F 0.166 0.506 0.506
F 0.155 0.903 0.298
F 0.155 0.298 0.903
F 0.739 0.867 0.502
F 0.739 0.502 0.867
F 0.797 0.082 0.082
```

Properties
- uncorrected formation energy (eV/atom) = -2.711

=====

LiScRu2: optimized geometry, PBE. Values from VASP.

Structure (Quantum ESPRESSO input):
```
&SYSTEM
  ibrav = 0, nat = 4, ntyp = 3
/
ATOMIC_SPECIES
Li 6.94 Li.upf
Ru 101.07 Ru.upf
Sc 44.96 Sc.upf
CELL_PARAMETERS angstrom
-1.874 0.185 2.058
2.607 -0.451 0.882
1.319 8.475 0.437
ATOMIC_POSITIONS crystal
Li 0.500 0.500 0.750
Ru 0.000 0.000 0.002
Ru 0.000 0.000 0.498
Sc 0.500 0.500 0.250
```

Properties
- formation energy (eV per formula unit) = 0.11

=====

Tl2NiCl: optimized geometry, PBE. Values from VASP.

Structure (Quantum ESPRESSO input):
```
&SYSTEM
  ibrav = 0, nat = 4, ntyp = 3
/
ATOMIC_SPECIES
Cl 35.45 Cl.upf
Ni 58.69 Ni.upf
Tl 204.38 Tl.upf
CELL_PARAMETERS angstrom
3.404 0.000 0.000
0.000 3.398 -0.253
0.000 0.589 7.971
ATOMIC_POSITIONS crystal
Cl 0.500 0.250 0.250
Ni 0.500 0.750 0.750
Tl 0.000 0.251 0.950
Tl 0.000 0.249 0.550
```

Properties
- offset from the most stable computed form (kJ/mol of formula units) = 39
- uncorrected formation energy (eV/atom) = -0.026

=====

NiHgBr2: optimized geometry, PBE. Values from VASP.

Structure (Quantum ESPRESSO input):
```
&SYSTEM
  ibrav = 0, nat = 4, ntyp = 3
/
ATOMIC_SPECIES
Br 79.90 Br.upf
Hg 200.59 Hg.upf
Ni 58.69 Ni.upf
CELL_PARAMETERS angstrom
-1.069 3.135 0.726
-3.991 -0.998 -1.570
-2.762 -2.821 8.118
ATOMIC_POSITIONS crystal
Br 0.000 0.848 0.918
Br 0.000 0.652 0.582
Hg 0.500 0.250 0.250
Ni 0.500 0.750 0.750
```

Properties
- offset from the most stable computed form (kJ/mol of formula units) = 29
- uncorrected formation energy (eV/atom) = -0.164

=====

Na8ZnSn2: optimized geometry, PBE. Values from VASP.

Structure (Quantum ESPRESSO input):
```
&SYSTEM
  ibrav = 0, nat = 11, ntyp = 3
/
ATOMIC_SPECIES
Na 22.99 Na.upf
Zn 65.41 Zn.upf
Sn 118.71 Sn.upf
CELL_PARAMETERS angstrom
5.657 0.014 0.012
0.747 8.343 -0.869
0.747 0.435 8.377
ATOMIC_POSITIONS crystal
Na 0.775 0.145 0.650
Na 0.225 0.350 0.855
Na 0.817 0.251 0.251
Na 0.183 0.749 0.749
Na 0.775 0.650 0.145
Na 0.225 0.855 0.350
Na 0.275 0.409 0.409
Na 0.725 0.591 0.591
Zn 0.000 0.000 0.000
Sn 0.365 0.121 0.121
Sn 0.635 0.879 0.879
```

Properties
- formation energy (eV per formula unit) = 0.29

=====

Number 1: magnetic moment 0.000 μB/atom, E_tot -5.013 eV per atom. Number 2: magnetic moment 0.000 μB/atom, E_tot -6.672 eV per atom. Number 3: magnetic moment 0.000 μB/atom, E_tot -3.116 eV per atom. Number 4: magnetic moment 0.033 μB/atom, E_tot -2.521 eV per atom. Number 5: magnetic moment 0.000 μB/atom, E_tot -1.776 eV per atom.